A relaxed structure of DyRu4, computed with PBE-GGA.

Geometry as POSCAR:
```
DyRu4
1.0
4.756 0.000 0.000
0.000 4.756 0.000
0.000 0.000 4.756
Dy Ru
1 4
Cartesian
0.000 0.000 0.000 Dy
0.000 0.000 2.378 Ru
0.000 2.378 0.000 Ru
2.378 0.000 0.000 Ru
2.378 2.378 2.378 Ru
```

Summary:
The density of states at the Fermi level comes out at 8.9 states/eV/f.u. The value obtained for the total energy is -6.019 eV per atom. The energy of formation from the pure elements is 53.560 kcal/mol of atoms.